# 1
A plane-wave DFT calculation with GGA-PBE was carried out for crystalline Er8TcHg2 at its relaxed geometry.

## Properties
Energy of formation in eV/atom: -0.1021
DOS at the Fermi energy in states/eV per atom: 0.689
Energy in eV per atom: -4.418
Energy above the most stable polymorph in this dataset in meV/atom: 119.7

a = 8.495 Å, b = 8.495 Å, c = 8.495 Å
α = 145.52°, β = 121.37°, γ = 69.83°
Element x y z (fractional)
1 Er 0.121 0.351 0.770
2 Er 0.123 0.123 0.000
3 Er 0.328 0.000 0.328
4 Er 0.418 0.649 0.770
5 Er 0.582 0.351 0.230
6 Er 0.672 0.000 0.672
7 Er 0.877 0.877 0.000
8 Er 0.879 0.649 0.230
9 Tc 0.000 0.500 0.500
10 Hg 0.301 0.801 0.500
11 Hg 0.699 0.199 0.500



# 2
A plane-wave DFT calculation with GGA-PBE was carried out for crystalline Er6TcHg at its relaxed geometry.

## Properties
Energy of formation in eV/atom: 0.0489
DOS at the Fermi energy in states/eV per atom: 1.218
Energy in eV per atom: -4.707

a = 6.554 Å, b = 6.554 Å, c = 6.568 Å
α = 100.97°, β = 100.97°, γ = 114.34°
Element x y z (fractional)
1 Er 0.025 0.398 0.241
2 Er 0.232 0.232 0.761
3 Er 0.398 0.025 0.241
4 Er 0.602 0.975 0.759
5 Er 0.768 0.768 0.239
6 Er 0.975 0.602 0.759
7 Tc 0.000 0.000 0.000
8 Hg 0.500 0.500 0.500



# 3
A plane-wave DFT calculation with GGA-PBE was carried out for crystalline Er2TcHg at its relaxed geometry.

## Properties
Energy of formation in eV/atom: -0.2914
DOS at the Fermi energy in states/eV per atom: 1.152
Energy in eV per atom: -5.240

a = 3.488 Å, b = 3.488 Å, c = 7.373 Å
α = 90.00°, β = 90.00°, γ = 90.00°
Element x y z (fractional)
1 Er 0.000 0.000 0.219
2 Er 0.000 0.000 0.781
3 Tc 0.500 0.500 0.000
4 Hg 0.500 0.500 0.500



# 4
A plane-wave DFT calculation with GGA-PBE was carried out for crystalline Er3Th3TcHg2 at its relaxed geometry.

## Properties
Energy of formation in eV/atom: -0.2460
DOS at the Fermi energy in states/eV per atom: 1.314
Energy in eV per atom: -5.459

a = 8.584 Å, b = 8.584 Å, c = 3.866 Å
α = 90.00°, β = 90.00°, γ = 120.00°
Element x y z (fractional)
1 Er 0.000 0.402 0.000
2 Er 0.402 0.000 0.000
3 Er 0.598 0.598 0.000
4 Th 0.000 0.754 0.500
5 Th 0.246 0.246 0.500
6 Th 0.754 0.000 0.500
7 Tc 0.000 0.000 0.000
8 Hg 0.333 0.667 0.500
9 Hg 0.667 0.333 0.500